[1]
Crystalline B7C5 at its relaxed geometry, computed with PBE.

Summary:
Energy relative to the elements ... 374 meV per atom
Energy above the lowest structure with this stoichiometry ... 209.8 meV/atom

a = 2.6760 Å, b = 2.6760 Å, c = 17.0861 Å
α = 90.00°, β = 90.00°, γ = 120.00°
Space group P3m1 (No. 156)
Unique sites:
B 0.0000 0.0000 0.0000
B 0.0000 0.0000 0.0993
B 0.0000 0.0000 0.7276
B 0.3333 0.6667 0.1610
B 0.3333 0.6667 0.8333
B 0.6667 0.3333 0.2610
B 0.6667 0.3333 0.4928
C 0.0000 0.0000 0.4928
C 0.3333 0.6667 0.2533
C 0.3333 0.6667 0.7372
C 0.6667 0.3333 0.8747
C 0.6667 0.3333 0.9569

***

[2]
Crystalline B3C at its relaxed geometry, computed with PBE.

Summary:
Energy relative to the elements ... 454 meV per atom
Energy above the lowest structure with this stoichiometry ... 213.7 meV/atom

a = 4.725 Å, b = 2.771 Å, c = 6.796 Å
α = 90.00°, β = 92.94°, γ = 90.00°
Space group Pm (No. 6)
Unique sites:
B 0.000 0.000 0.000
B 0.017 0.500 0.661
B 0.157 0.000 0.399
B 0.269 0.500 0.994
B 0.290 0.000 0.146
B 0.449 0.000 0.676
B 0.524 0.000 0.389
B 0.555 0.500 0.151
B 0.812 0.000 0.784
C 0.337 0.500 0.763
C 0.699 0.500 0.354
C 0.998 0.500 0.430

***

[3]
Crystalline B7C5 at its relaxed geometry, computed with PBE.

Summary:
Energy relative to the elements ... 336 meV per atom
Energy above the lowest structure with this stoichiometry ... 171.9 meV/atom

a = 3.717 Å, b = 4.566 Å, c = 5.569 Å
α = 104.05°, β = 94.15°, γ = 111.12°
Space group P1 (No. 1)
Unique sites:
B 0.000 0.000 0.000
B 0.011 0.353 0.545
B 0.360 0.996 0.246
B 0.389 0.019 0.623
B 0.401 0.615 0.077
B 0.637 0.732 0.378
B 0.672 0.353 0.195
C 0.055 0.022 0.426
C 0.409 0.686 0.617
C 0.652 0.660 0.842
C 0.740 0.352 0.768
C 0.964 0.331 0.002

***

[4]
Crystalline BC at its relaxed geometry, computed with PBE.

Summary:
Energy relative to the elements ... 540 meV per atom
Energy above the lowest structure with this stoichiometry ... 389.4 meV/atom

a = 2.5571 Å, b = 2.5571 Å, c = 28.6250 Å
α = 90.00°, β = 90.00°, γ = 120.00°
Space group R-3m (No. 166, hexagonal axes)
Unique sites:
B 0.0000 0.0000 0.0878
B 0.0000 0.0000 0.1471
C 0.0000 0.0000 0.3432
C 0.0000 0.0000 0.3951

***

[5]
Crystalline B7C5 at its relaxed geometry, computed with PBE.

Summary:
Energy relative to the elements ... 357 meV per atom
Energy above the lowest structure with this stoichiometry ... 192.3 meV/atom

a = 3.860 Å, b = 3.917 Å, c = 5.875 Å
α = 90.00°, β = 105.99°, γ = 90.00°
Space group P2 (No. 3)
Unique sites:
B 0.000 0.000 0.000
B 0.220 0.298 0.874
B 0.228 0.588 0.363
B 0.341 0.010 0.646
C 0.000 0.789 0.500
C 0.338 0.794 0.156
C 0.500 0.302 0.500
C 0.500 0.573 0.000

***

[6]
Crystalline B3C at its relaxed geometry, computed with PBE.

Summary:
Energy relative to the elements ... 459 meV per atom
Energy above the lowest structure with this stoichiometry ... 218.6 meV/atom

a = 2.390 Å, b = 2.390 Å, c = 14.460 Å
α = 90.00°, β = 90.00°, γ = 90.00°
Space group P-4m2 (No. 115)
Unique sites:
B 0.000 0.000 0.000
B 0.000 0.500 0.275
B 0.000 0.500 0.575
B 0.000 0.500 0.908
B 0.500 0.500 0.182
C 0.000 0.000 0.350
C 0.500 0.500 0.500

***

[7]
Crystalline B7C5 at its relaxed geometry, computed with PBE.

Summary:
Energy relative to the elements ... 466 meV per atom
Energy above the lowest structure with this stoichiometry ... 301.4 meV/atom

a = 4.656 Å, b = 4.676 Å, c = 4.681 Å
α = 105.47°, β = 98.31°, γ = 118.15°
Space group P1 (No. 1)
Unique sites:
B 0.000 0.000 0.000
B 0.019 0.998 0.373
B 0.250 0.604 0.957
B 0.405 0.437 0.558
B 0.452 0.730 0.371
B 0.610 0.595 0.994
B 0.771 0.395 0.386
C 0.133 0.770 0.518
C 0.263 0.923 0.873
C 0.623 0.263 0.019
C 0.780 0.123 0.537
C 0.891 0.238 0.883

***

[8]
Crystalline BC at its relaxed geometry, computed with PBE.

Summary:
Energy relative to the elements ... 386 meV per atom
Energy above the lowest structure with this stoichiometry ... 235.7 meV/atom

a = 4.762 Å, b = 2.661 Å, c = 6.620 Å
α = 90.00°, β = 92.15°, γ = 90.00°
Space group Pm (No. 6)
Unique sites:
B 0.000 0.000 0.000
B 0.100 0.500 0.645
B 0.255 0.000 0.311
B 0.580 0.500 0.789
B 0.680 0.000 0.453
B 0.842 0.500 0.317
C 0.009 0.000 0.749
C 0.173 0.500 0.415
C 0.347 0.000 0.082
C 0.492 0.500 0.019
C 0.669 0.000 0.687
C 0.821 0.500 0.075

***

[9]
Crystalline BC at its relaxed geometry, computed with PBE.

Summary:
Energy relative to the elements ... 1808 meV per atom
Energy above the lowest structure with this stoichiometry ... 1656.9 meV/atom

a = 1.754 Å, b = 1.818 Å, c = 3.689 Å
α = 90.00°, β = 90.00°, γ = 90.00°
Space group Pmmm (No. 47)
Unique sites:
B 0.000 0.000 0.000
C 0.000 0.000 0.500

***

[10]
Crystalline BC at its relaxed geometry, computed with PBE.

Summary:
Energy relative to the elements ... 409 meV per atom
Energy above the lowest structure with this stoichiometry ... 257.9 meV/atom

a = 4.526 Å, b = 4.763 Å, c = 4.803 Å
α = 61.67°, β = 83.09°, γ = 68.46°
Space group P1 (No. 1)
Unique sites:
B 0.000 0.000 0.000
B 0.003 0.365 0.318
B 0.011 0.605 0.599
B 0.428 0.548 0.590
B 0.487 0.499 0.012
B 0.771 0.200 0.597
C 0.366 0.890 0.956
C 0.367 0.199 0.292
C 0.466 0.129 0.634
C 0.499 0.861 0.265
C 0.788 0.398 0.820
C 0.862 0.753 0.253

***

[11]
Crystalline B11C at its relaxed geometry, computed with PBE.

Summary:
Energy relative to the elements ... 477 meV per atom
Energy above the lowest structure with this stoichiometry ... 203.2 meV/atom

a = 8.505 Å, b = 4.142 Å, c = 5.314 Å
α = 90.00°, β = 111.72°, γ = 90.00°
Space group C2 (No. 5)
Unique sites:
B 0.000 0.000 0.000
B 0.016 0.843 0.687
B 0.141 0.352 0.097
B 0.147 0.331 0.448
B 0.166 0.697 0.288
B 0.182 0.718 0.964
C 0.000 0.150 0.500

***

[12]
Crystalline BC at its relaxed geometry, computed with PBE.

Summary:
Energy relative to the elements ... 389 meV per atom
Energy above the lowest structure with this stoichiometry ... 238.5 meV/atom

a = 8.717 Å, b = 2.653 Å, c = 6.848 Å
α = 90.00°, β = 116.81°, γ = 90.00°
Space group Cm (No. 8)
Unique sites:
B 0.000 0.000 0.000
B 0.008 0.000 0.413
B 0.240 0.000 0.147
B 0.293 0.500 0.507
B 0.427 0.000 0.707
C 0.109 0.500 0.507
C 0.124 0.500 0.746
C 0.210 0.000 0.873
C 0.302 0.500 0.273
C 0.407 0.000 0.936

***

Among the records above, which one has the lowest energy above the lowest structure with this stoichiometry? number 3